Material: BaCrCu2Te4
Method: DFT, PBE
State: optimized geometry

Cell and atoms, written as POSCAR:
```
BaCrCu2Te4
1.0
-5.3633 0.8121 4.1378
0.7259 -1.3091 6.8222
-0.8395 6.0741 3.3442
Ba Te Cr Cu
1 4 1 2
Direct
0.0000 0.0000 0.0000 Ba
0.8789 0.5137 0.1498 Te
0.4577 0.1498 0.5137 Te
0.5423 0.4863 0.8502 Te
0.1211 0.8502 0.4863 Te
0.5000 0.5000 0.5000 Cr
0.8606 0.6394 0.6394 Cu
0.1394 0.3606 0.3606 Cu
```

Results
mass density: 5.43 g cm⁻³
formation energy without anion corrections: -35.4 kJ per mole of atoms